Tl2Ag2Au: optimized geometry, PBE.

Cell lengths 7.7892, 7.7892, 3.8798 Å; angles 90.00, 90.00, 90.00 degrees
Closest atoms and distances in Å follow each position.
Element x y z (fractional)
Tl 0.6676 0.1676 0.0000  2 Au 2.90, 6 Ag 2.95-3.04
Tl 0.1676 0.3324 0.0000  2 Au 2.90, 6 Ag 2.95-3.04
Tl 0.3324 0.8324 0.0000  2 Au 2.90, 6 Ag 2.95-3.04
Tl 0.8324 0.6676 0.0000  2 Au 2.90, 6 Ag 2.95-3.04
Ag 0.6304 0.8696 0.5000  1 Ag 2.87, 6 Tl 2.95-3.04
Ag 0.3696 0.1304 0.5000  1 Ag 2.87, 6 Tl 2.95-3.04
Ag 0.8696 0.3696 0.5000  1 Ag 2.87, 6 Tl 2.95-3.04
Ag 0.1304 0.6304 0.5000  1 Ag 2.87, 6 Tl 2.95-3.04
Au 0.0000 0.0000 0.0000  4 Tl 2.90
Au 0.5000 0.5000 0.0000  4 Tl 2.90

Calculated values
Formation energy (eV per formula unit): 1.11
Raw total energy (eV/atom): -2.52
E above lowest polymorph (meV per atom): 110.6